VASP calculation (GGA-PBEsol) on crystalline RbCoCuC2 at its relaxed geometry.

Unit cell a=3.864 b=3.864 c=4.729 alpha=90.00 beta=90.00 gamma=90.00
Sites, in units of the cell vectors:
Rb (0.500, 0.500, 0.500)
Co (0.000, 0.000, 0.500)
C (0.000, 0.500, 0.000)
C (0.500, 0.000, 0.000)
Cu (0.000, 0.000, 0.000)

## Properties
space-group type: P4/mmm, No. 123
energy of formation from the pure elements: 11.21 eV per formula unit

VASP calculation (GGA-PBEsol) on crystalline ErCoC at its relaxed geometry.

Unit cell a=3.568 b=3.568 c=6.687 alpha=90.00 beta=90.00 gamma=90.00
Sites, in units of the cell vectors:
Co (0.500, 0.500, 0.500)
Co (0.500, 0.500, 0.000)
Er (0.000, 0.000, 0.750)
Er (0.000, 0.000, 0.250)
C (0.500, 0.000, 0.500)
C (0.000, 0.500, 0.000)

## Properties
space-group type: P4_2/mmc, No. 131
energy of formation from the pure elements: -1.14 eV per formula unit

VASP calculation (GGA-PBEsol) on crystalline Sr2CoCO3F5 at its relaxed geometry.

Unit cell a=5.448 b=8.672 c=13.016 alpha=90.00 beta=98.12 gamma=90.00
Sites, in units of the cell vectors:
O (0.086, 0.125, 0.093)
O (0.861, 0.369, 0.742)
O (0.639, 0.869, 0.758)
O (0.506, 0.880, 0.910)
O (0.586, 0.375, 0.593)
O (0.006, 0.620, 0.410)
O (0.914, 0.875, 0.907)
O (0.414, 0.625, 0.407)
O (0.361, 0.131, 0.242)
O (0.994, 0.380, 0.590)
O (0.494, 0.120, 0.090)
O (0.139, 0.631, 0.258)
F (0.826, 0.508, 0.915)
F (0.089, 0.870, 0.566)
F (0.949, 0.969, 0.273)
F (0.071, 0.722, 0.736)
F (0.298, 0.286, 0.412)
F (0.326, 0.992, 0.415)
F (0.674, 0.008, 0.585)
F (0.911, 0.130, 0.434)
F (0.929, 0.278, 0.264)
F (0.798, 0.214, 0.912)
F (0.202, 0.786, 0.088)
F (0.702, 0.714, 0.588)
F (0.449, 0.531, 0.773)
F (0.429, 0.222, 0.764)
F (0.174, 0.492, 0.085)
F (0.571, 0.778, 0.236)
F (0.051, 0.031, 0.727)
F (0.551, 0.469, 0.227)
F (0.589, 0.630, 0.066)
F (0.411, 0.370, 0.934)
Sr (0.278, 0.139, 0.587)
Sr (0.288, 0.609, 0.598)
Sr (0.212, 0.109, 0.902)
Sr (0.222, 0.639, 0.913)
Sr (0.722, 0.861, 0.413)
Sr (0.712, 0.391, 0.402)
Sr (0.788, 0.891, 0.098)
Sr (0.778, 0.361, 0.087)
C (0.308, 0.125, 0.142)
C (0.692, 0.875, 0.858)
C (0.192, 0.625, 0.358)
C (0.808, 0.375, 0.642)
Co (0.869, 0.869, 0.667)
Co (0.369, 0.631, 0.167)
Co (0.131, 0.131, 0.333)
Co (0.631, 0.369, 0.833)

## Properties
space-group type: P2_1/c, No. 14
total DFT energy (no corrections): -6.4791 eV/atom

VASP calculation (GGA-PBEsol) on crystalline FeCoC3 at its relaxed geometry.

Unit cell a=3.623 b=3.623 c=3.623 alpha=90.00 beta=90.00 gamma=90.00
Sites, in units of the cell vectors:
Co (0.500, 0.500, 0.500)
C (0.000, 0.000, 0.500)
C (0.500, 0.000, 0.000)
C (0.000, 0.500, 0.000)
Fe (0.000, 0.000, 0.000)

## Properties
space-group type: Pm-3m, No. 221
energy of formation from the pure elements: 10.23 eV per formula unit

VASP calculation (GGA-PBEsol) on crystalline Sm2Ga2Fe12Co3C at its relaxed geometry.

Unit cell a=6.359 b=6.377 c=6.377 alpha=97.26 beta=97.16 gamma=82.84
Sites, in units of the cell vectors:
Fe (0.151, 0.655, 0.345)
Fe (0.708, 0.999, 0.706)
Fe (0.658, 0.661, 0.846)
Fe (0.292, 0.706, 0.999)
Fe (0.000, 0.285, 0.285)
Fe (0.342, 0.339, 0.154)
Fe (0.000, 0.715, 0.715)
Fe (0.849, 0.345, 0.655)
Fe (0.342, 0.846, 0.661)
Fe (0.708, 0.294, 0.001)
Fe (0.292, 0.001, 0.294)
Fe (0.658, 0.154, 0.339)
Co (0.000, 0.500, 0.000)
Co (0.000, 0.000, 0.500)
Co (0.500, 0.000, 0.000)
Ga (0.102, 0.104, 0.896)
Ga (0.898, 0.896, 0.104)
C (0.000, 0.500, 0.500)
Sm (0.641, 0.656, 0.344)
Sm (0.359, 0.344, 0.656)

## Properties
space-group type: C2/m, No. 12
energy of formation from the pure elements: -1.41 eV per formula unit

VASP calculation (GGA-PBEsol) on crystalline Sm4Fe27Co7C2 at its relaxed geometry.

Unit cell a=6.343 b=6.343 c=12.599 alpha=83.68 beta=83.68 gamma=83.53
Sites, in units of the cell vectors:
Co (0.000, 0.500, 0.000)
Co (0.000, 0.500, 0.500)
Co (0.001, 0.001, 0.749)
Co (0.500, 0.000, 0.000)
Co (0.999, 0.999, 0.250)
Co (0.097, 0.097, 0.548)
Co (0.500, 0.000, 0.500)
Fe (0.283, 0.996, 0.360)
Fe (0.852, 0.341, 0.171)
Fe (0.660, 0.660, 0.575)
Fe (0.717, 0.005, 0.640)
Fe (0.147, 0.658, 0.828)
Fe (0.341, 0.855, 0.670)
Fe (0.995, 0.283, 0.860)
Fe (0.287, 0.713, 0.500)
Fe (0.713, 0.286, 0.000)
Fe (0.286, 0.713, 0.000)
Fe (0.004, 0.716, 0.141)
Fe (0.658, 0.147, 0.828)
Fe (0.339, 0.339, 0.427)
Fe (0.658, 0.147, 0.329)
Fe (0.341, 0.852, 0.171)
Fe (0.903, 0.903, 0.952)
Fe (0.716, 0.004, 0.141)
Fe (0.341, 0.341, 0.925)
Fe (0.855, 0.341, 0.670)
Fe (0.713, 0.287, 0.500)
Fe (0.283, 0.995, 0.860)
Fe (0.996, 0.283, 0.360)
Fe (0.096, 0.096, 0.048)
Fe (0.907, 0.907, 0.454)
Fe (0.658, 0.658, 0.075)
Fe (0.005, 0.717, 0.640)
Fe (0.147, 0.658, 0.329)
C (0.500, 0.500, 0.000)
C (0.500, 0.500, 0.500)
Sm (0.339, 0.339, 0.678)
Sm (0.338, 0.338, 0.178)
Sm (0.661, 0.661, 0.821)
Sm (0.661, 0.661, 0.322)

## Properties
space-group type: Cm, No. 8
energy of formation from the pure elements: -0.54 eV per formula unit

VASP calculation (GGA-PBEsol) on crystalline RbCo2GeC at its relaxed geometry.

Unit cell a=4.148 b=4.600 c=4.600 alpha=90.00 beta=90.00 gamma=90.00
Sites, in units of the cell vectors:
Co (0.000, 0.500, 0.000)
Co (0.000, 0.000, 0.500)
Ge (0.000, 0.000, 0.000)
Rb (0.500, 0.500, 0.500)
C (0.500, 0.000, 0.000)

## Properties
space-group type: P4/mmm, No. 123
energy of formation from the pure elements: 8.09 eV per formula unit

VASP calculation (GGA-PBEsol) on crystalline K2CoH8C2O10 at its relaxed geometry.

Unit cell a=6.193 b=6.838 c=11.094 alpha=81.01 beta=90.00 gamma=90.00
Sites, in units of the cell vectors:
O (0.776, 0.202, 0.410)
O (0.830, 0.770, 0.444)
O (0.310, 0.531, 0.843)
O (0.080, 0.275, 0.891)
O (0.724, 0.702, 0.910)
O (0.690, 0.469, 0.157)
O (0.939, 0.530, 0.291)
O (0.224, 0.798, 0.590)
O (0.061, 0.470, 0.709)
O (0.920, 0.725, 0.109)
O (0.561, 0.030, 0.791)
O (0.330, 0.730, 0.056)
O (0.810, 0.969, 0.657)
O (0.439, 0.970, 0.209)
O (0.420, 0.775, 0.391)
O (0.580, 0.225, 0.609)
O (0.190, 0.031, 0.343)
O (0.276, 0.298, 0.090)
O (0.670, 0.270, 0.944)
O (0.170, 0.230, 0.556)
H (0.828, 0.284, 0.919)
H (0.328, 0.216, 0.581)
H (0.695, 0.224, 0.488)
H (0.172, 0.716, 0.081)
H (0.105, 0.316, 0.612)
H (0.841, 0.333, 0.370)
H (0.895, 0.684, 0.388)
H (0.395, 0.816, 0.112)
H (0.805, 0.724, 0.988)
H (0.341, 0.167, 0.130)
H (0.672, 0.784, 0.419)
H (0.159, 0.667, 0.630)
H (0.195, 0.276, 0.012)
H (0.659, 0.833, 0.870)
H (0.305, 0.776, 0.512)
H (0.605, 0.184, 0.888)
C (0.152, 0.425, 0.815)
C (0.652, 0.075, 0.685)
C (0.848, 0.575, 0.185)
C (0.348, 0.925, 0.315)
K (0.850, 0.090, 0.182)
K (0.150, 0.910, 0.818)
K (0.650, 0.590, 0.682)
K (0.350, 0.410, 0.318)
Co (0.500, 0.500, 0.000)
Co (0.000, 0.000, 0.500)

## Properties
space-group type: P2_1/c, No. 14
total DFT energy (no corrections): -5.9806 eV/atom

VASP calculation (GGA-PBEsol) on crystalline Li2CoH8C2O10 at its relaxed geometry.

Unit cell a=5.714 b=5.864 c=11.473 alpha=81.04 beta=90.00 gamma=90.00
Sites, in units of the cell vectors:
O (0.541, 0.023, 0.287)
O (0.730, 0.193, 0.918)
O (0.099, 0.220, 0.377)
O (0.401, 0.720, 0.877)
O (0.708, 0.441, 0.651)
O (0.177, 0.296, 0.033)
O (0.230, 0.307, 0.582)
O (0.292, 0.559, 0.349)
O (0.901, 0.780, 0.623)
O (0.270, 0.807, 0.082)
O (0.459, 0.977, 0.713)
O (0.959, 0.523, 0.787)
O (0.323, 0.796, 0.533)
O (0.041, 0.477, 0.213)
O (0.823, 0.704, 0.967)
O (0.677, 0.204, 0.467)
O (0.770, 0.693, 0.418)
O (0.599, 0.280, 0.123)
O (0.792, 0.941, 0.151)
O (0.208, 0.059, 0.849)
H (0.661, 0.733, 0.933)
H (0.323, 0.745, 0.009)
H (0.195, 0.678, 0.138)
H (0.695, 0.822, 0.362)
H (0.305, 0.178, 0.638)
H (0.161, 0.767, 0.567)
H (0.597, 0.140, 0.401)
H (0.839, 0.233, 0.433)
H (0.805, 0.322, 0.862)
H (0.097, 0.360, 0.099)
H (0.339, 0.267, 0.067)
H (0.403, 0.860, 0.599)
H (0.677, 0.255, 0.991)
H (0.177, 0.245, 0.509)
H (0.903, 0.640, 0.901)
H (0.823, 0.755, 0.491)
C (0.145, 0.419, 0.314)
C (0.645, 0.081, 0.186)
C (0.855, 0.581, 0.686)
C (0.355, 0.919, 0.814)
Co (0.000, 0.000, 0.000)
Co (0.500, 0.500, 0.500)
Li (0.248, 0.904, 0.355)
Li (0.252, 0.404, 0.855)
Li (0.748, 0.596, 0.145)
Li (0.752, 0.096, 0.645)

## Properties
space-group type: P2_1/c, No. 14
E above lowest polymorph: 1.97 kJ per mole of atoms

VASP calculation (GGA-PBEsol) on crystalline Li2CoH8C2O10 at its relaxed geometry.

Unit cell a=5.349 b=5.349 c=13.974 alpha=80.07 beta=80.07 gamma=76.36
Sites, in units of the cell vectors:
O (0.638, 0.412, 0.411)
O (0.069, 0.730, 0.141)
O (0.730, 0.069, 0.641)
O (0.467, 0.947, 0.206)
O (0.533, 0.053, 0.794)
O (0.412, 0.638, 0.911)
O (0.588, 0.362, 0.089)
O (0.053, 0.533, 0.294)
O (0.853, 0.754, 0.501)
O (0.318, 0.012, 0.673)
O (0.754, 0.853, 0.001)
O (0.147, 0.246, 0.499)
O (0.270, 0.931, 0.359)
O (0.988, 0.682, 0.827)
O (0.931, 0.270, 0.859)
O (0.682, 0.988, 0.327)
O (0.947, 0.467, 0.706)
O (0.362, 0.588, 0.589)
O (0.246, 0.147, 0.999)
O (0.012, 0.318, 0.173)
Co (0.952, 0.048, 0.750)
Co (0.048, 0.952, 0.250)
H (0.628, 0.253, 0.386)
H (0.229, 0.152, 0.557)
H (0.533, 0.209, 0.133)
H (0.152, 0.229, 0.057)
H (0.253, 0.628, 0.886)
H (0.771, 0.848, 0.443)
H (0.125, 0.188, 0.949)
H (0.812, 0.875, 0.551)
H (0.372, 0.747, 0.614)
H (0.747, 0.372, 0.114)
H (0.875, 0.812, 0.051)
H (0.848, 0.771, 0.943)
H (0.467, 0.791, 0.867)
H (0.188, 0.125, 0.449)
H (0.209, 0.533, 0.633)
H (0.791, 0.467, 0.367)
Li (0.253, 0.592, 0.457)
Li (0.592, 0.253, 0.957)
Li (0.408, 0.747, 0.043)
Li (0.747, 0.408, 0.543)
C (0.954, 0.479, 0.797)
C (0.479, 0.954, 0.297)
C (0.046, 0.521, 0.203)
C (0.521, 0.046, 0.703)

## Properties
space-group type: C2/c, No. 15
E above lowest polymorph: 0.00 kJ per mole of atoms

VASP calculation (GGA-PBEsol) on crystalline LiCoH8C2O10 at its relaxed geometry.

Unit cell a=5.002 b=5.002 c=17.628 alpha=79.52 beta=79.52 gamma=74.15
Sites, in units of the cell vectors:
H (0.722, 0.544, 0.864)
H (0.964, 0.261, 0.508)
H (0.395, 0.017, 0.077)
H (0.544, 0.722, 0.364)
H (0.056, 0.906, 0.920)
H (0.217, 0.437, 0.138)
H (0.539, 0.338, 0.864)
H (0.261, 0.964, 0.008)
H (0.906, 0.056, 0.420)
H (0.017, 0.395, 0.577)
H (0.437, 0.217, 0.638)
H (0.447, 0.598, 0.128)
H (0.837, 0.885, 0.996)
H (0.885, 0.837, 0.496)
H (0.598, 0.447, 0.628)
H (0.338, 0.539, 0.364)
O (0.037, 0.818, 0.975)
O (0.877, 0.398, 0.689)
O (0.106, 0.085, 0.828)
O (0.092, 0.563, 0.300)
O (0.391, 0.464, 0.104)
O (0.977, 0.325, 0.216)
O (0.876, 0.856, 0.663)
O (0.638, 0.974, 0.276)
O (0.325, 0.977, 0.716)
O (0.818, 0.037, 0.475)
O (0.085, 0.106, 0.328)
O (0.563, 0.092, 0.800)
O (0.554, 0.486, 0.892)
O (0.464, 0.391, 0.604)
O (0.406, 0.049, 0.020)
O (0.486, 0.554, 0.392)
O (0.398, 0.877, 0.189)
O (0.049, 0.406, 0.520)
O (0.974, 0.638, 0.776)
O (0.856, 0.876, 0.163)
C (0.049, 0.344, 0.283)
C (0.910, 0.620, 0.708)
C (0.620, 0.910, 0.208)
C (0.344, 0.049, 0.783)
Li (0.354, 0.464, 0.996)
Li (0.464, 0.354, 0.496)
Co (0.024, 0.936, 0.245)
Co (0.936, 0.024, 0.745)

## Properties
space-group type: Cc, No. 9
total DFT energy (no corrections): -6.0967 eV/atom

VASP calculation (GGA-PBEsol) on crystalline CoH9C3N6 at its relaxed geometry.

Unit cell a=7.237 b=7.237 c=7.237 alpha=97.44 beta=97.44 gamma=97.44
Sites, in units of the cell vectors:
C (0.222, 0.949, 0.126)
C (0.051, 0.874, 0.778)
C (0.949, 0.126, 0.222)
C (0.778, 0.051, 0.874)
C (0.126, 0.222, 0.949)
C (0.874, 0.778, 0.051)
H (0.264, 0.602, 0.259)
H (0.196, 0.643, 0.469)
H (0.398, 0.741, 0.736)
H (0.804, 0.357, 0.531)
H (0.531, 0.804, 0.357)
H (0.350, 0.157, 0.427)
H (0.650, 0.843, 0.573)
H (0.427, 0.350, 0.157)
H (0.259, 0.264, 0.602)
H (0.602, 0.259, 0.264)
H (0.643, 0.469, 0.196)
H (0.469, 0.196, 0.643)
H (0.736, 0.398, 0.741)
H (0.357, 0.531, 0.804)
H (0.157, 0.427, 0.350)
H (0.741, 0.736, 0.398)
H (0.843, 0.573, 0.650)
H (0.573, 0.650, 0.843)
N (0.211, 0.363, 0.921)
N (0.453, 0.618, 0.744)
N (0.921, 0.211, 0.363)
N (0.256, 0.547, 0.382)
N (0.789, 0.637, 0.079)
N (0.547, 0.382, 0.256)
N (0.382, 0.256, 0.547)
N (0.618, 0.744, 0.453)
N (0.363, 0.921, 0.211)
N (0.637, 0.079, 0.789)
N (0.744, 0.453, 0.618)
N (0.079, 0.789, 0.637)
Co (0.500, 0.500, 0.500)
Co (0.000, 0.000, 0.000)

## Properties
space-group type: R-3, No. 148
total DFT energy (no corrections): -6.3644 eV/atom